Computed, not measured: crystalline Cs2TlAg at its relaxed geometry at the PBE-GGA level of DFT.

Values from the calculation:
Fermi-level density of states (states/eV per cell): 4.43

a b c (Å): 5.2509 5.6063 13.8435
angles (deg): 90.00 90.00 90.00
Fractional coordinates of all 8 atoms:
Cs  0.0000  0.0000  0.0000
Cs  0.0000  0.5000  0.5000
Cs  0.5000  0.0000  0.2968
Cs  0.5000  0.5000  0.7968
Tl  0.0000  0.0000  0.6984
Tl  0.0000  0.5000  0.1984
Ag  0.5000  0.0000  0.6040
Ag  0.5000  0.5000  0.1040

---

Computed, not measured: crystalline Cs2TlAg2 at its relaxed geometry at the PBE-GGA level of DFT.

Values from the calculation:
Fermi-level density of states (states/eV per cell): 6.55

a b c (Å): 10.4957 10.4957 3.9400
angles (deg): 90.00 90.00 90.00
Fractional coordinates of all 10 atoms:
Cs  0.1395  0.3605  0.0000
Cs  0.3605  0.8605  0.0000
Cs  0.6395  0.1395  0.0000
Cs  0.8605  0.6395  0.0000
Tl  0.0000  0.0000  0.0000
Tl  0.5000  0.5000  0.0000
Ag  0.1621  0.6621  0.5000
Ag  0.3379  0.1621  0.5000
Ag  0.6621  0.8379  0.5000
Ag  0.8379  0.3379  0.5000

---

Number 1: ΔE_f -0.010 eV/atom, theoretical density 4.7 g/cm³. Number 2: ΔE_f 0.272 eV/atom, theoretical density 5.2 g/cm³.